Computed, not measured: crystalline Ca2CeI8 at its relaxed geometry at the PBE-GGA level of DFT.

Output
The value obtained for the final energy is -3.353 eV per atom. Its uncorrected formation energy is -1.3227 eV/atom.

a b c (Å): 14.2495 10.6080 6.6181
angles (deg): 90.00 92.14 90.00
Space group C2/m (No. 12)
Symmetry-distinct sites (fractional):
Ca1 0.1083 0.0000 0.2762 [4 per cell]
Ce1 0.0000 0.5000 0.5000 [2 per cell]
I1 0.0985 0.2974 0.2628 [8 per cell]
I2 0.1082 0.0000 0.7634 [4 per cell]
I3 0.1746 0.5000 0.7781 [4 per cell]

=====

Computed, not measured: crystalline SrIn2C2 at its relaxed geometry at the PBE-GGA level of DFT.

Output
The value obtained for the final energy is -3.813 eV per atom. Its formation enthalpy at 0 K is 1.308 eV per atom. The calculation puts the excess energy over the best structure of this formula in the dataset at 302.9 meV/atom.

a b c (Å): 7.2896 7.2896 3.3672
angles (deg): 90.00 90.00 90.00
Space group P4/mbm (No. 127)
Symmetry-distinct sites (fractional):
Sr1 0.0000 0.0000 0.0000 [2 per cell]
In1 0.1385 0.3615 0.5000 [4 per cell]
C1 0.1543 0.6543 0.0000 [4 per cell]

=====

Computed, not measured: crystalline Tm3Bi4 at its relaxed geometry at the PBE-GGA level of DFT.

Output
The value obtained for the final energy is -4.586 eV per atom. Its formation enthalpy at 0 K is -0.452 eV per atom.

a b c (Å): 4.4615 4.4615 38.7195
angles (deg): 90.00 90.00 120.00
Space group R-3m (No. 166, hexagonal axes)
Symmetry-distinct sites (fractional):
Tm1 0.0000 0.0000 0.0000 [3 per cell]
Tm2 0.0000 0.0000 0.2414 [6 per cell]
Bi1 0.0000 0.0000 0.1403 [6 per cell]
Bi2 0.0000 0.0000 0.3797 [6 per cell]

=====

Computed, not measured: crystalline CaPm2Se4 at its relaxed geometry at the PBE-GGA level of DFT.

Output
The value obtained for the final energy is -5.555 eV per atom. Its uncorrected formation energy is -1.9210 eV/atom. The calculation puts the excess energy over the best structure of this formula in the dataset at 0.0 meV/atom.

a b c (Å): 8.8882 8.8882 8.9546
angles (deg): 90.00 90.00 90.00
Space group I-42d (No. 122)
Symmetry-distinct sites (fractional):
Ca1 0.0000 0.0000 0.0000 [4 per cell]
Pm1 0.1268 0.7500 0.6250 [8 per cell]
Se1 0.0737 0.6784 0.9448 [16 per cell]

=====

Computed, not measured: crystalline V2Fe2Ni3 at its relaxed geometry at the PBE-GGA level of DFT.

Output
The value obtained for the final energy is -7.572 eV per atom. Its formation enthalpy at 0 K is -0.071 eV per atom.

a b c (Å): 6.9539 4.0455 6.2175
angles (deg): 90.00 112.45 90.00
Space group C2/m (No. 12)
Symmetry-distinct sites (fractional):
V1 0.0766 0.0000 0.2307 [4 per cell]
Fe1 0.2156 0.0000 0.6464 [4 per cell]
Ni1 0.0000 0.5000 0.5000 [2 per cell]
Ni2 0.1420 0.5000 0.9257 [4 per cell]

=====

Computed, not measured: crystalline CaCe2Ni at its relaxed geometry at the PBE-GGA level of DFT.

Output
The value obtained for the final energy is -4.930 eV per atom. Its formation enthalpy at 0 K is -0.017 eV per atom. The calculation puts the excess energy over the best structure of this formula in the dataset at 0.0 meV/atom.

a b c (Å): 3.5548 3.5548 8.9349
angles (deg): 90.00 90.00 90.00
Space group P4/mmm (No. 123)
Symmetry-distinct sites (fractional):
Ca1 0.0000 0.0000 0.0000 [1 per cell]
Ce1 0.5000 0.5000 0.3404 [2 per cell]
Ni1 0.0000 0.0000 0.5000 [1 per cell]

=====

Computed, not measured: crystalline Er5NiS4 at its relaxed geometry at the PBE-GGA level of DFT.

Output
The value obtained for the final energy is -6.161 eV per atom. Its uncorrected formation energy is -1.6503 eV/atom.

a b c (Å): 13.1044 3.8076 9.6342
angles (deg): 90.00 120.11 90.00
Space group C2/m (No. 12)
Symmetry-distinct sites (fractional):
Er1 0.0000 0.0000 0.0000 [2 per cell]
Er2 0.0944 0.5000 0.4046 [4 per cell]
Er3 0.1950 0.0000 0.7928 [4 per cell]
Ni1 0.0000 0.0000 0.5000 [2 per cell]
S1 0.1040 0.5000 0.9096 [4 per cell]
S2 0.1965 0.0000 0.2980 [4 per cell]

=====

Computed, not measured: crystalline Ba2YOsN4 at its relaxed geometry at the PBE-GGA level of DFT.

Output
The value obtained for the final energy is -7.041 eV per atom. Its uncorrected formation energy is -0.1860 eV/atom.

a b c (Å): 5.9118 12.3124 21.2615
angles (deg): 90.00 90.00 90.00
Space group Fddd (No. 70, origin choice 2)
Symmetry-distinct sites (fractional):
Ba1 0.1250 0.1250 0.3120 [16 per cell]
Y1 0.1250 0.1250 0.1250 [8 per cell]
Os1 0.1250 0.1250 0.6250 [8 per cell]
N1 0.0832 0.2753 0.8398 [32 per cell]

=====

Computed, not measured: crystalline HfCdSeN2 at its relaxed geometry at the PBE-GGA level of DFT.

Output
The value obtained for the final energy is -6.107 eV per atom. Its uncorrected formation energy is 0.0934 eV/atom. The calculation puts the excess energy over the best structure of this formula in the dataset at 0.0 meV/atom.

a b c (Å): 4.0971 4.0971 5.6976
angles (deg): 90.00 90.00 90.00
Space group P4/mmm (No. 123)
Symmetry-distinct sites (fractional):
Hf1 0.0000 0.0000 0.0000 [1 per cell]
Cd1 0.5000 0.5000 0.5000 [1 per cell]
Se1 0.0000 0.0000 0.5000 [1 per cell]
N1 0.0000 0.5000 0.0000 [2 per cell]

=====

Computed, not measured: crystalline TaSi2Os at its relaxed geometry at the PBE-GGA level of DFT.

Output
The value obtained for the final energy is -8.829 eV per atom. Its uncorrected formation energy is -0.3471 eV/atom.

a b c (Å): 3.1345 3.1345 5.8376
angles (deg): 90.00 90.00 90.00
Space group P4mm (No. 99)
Symmetry-distinct sites (fractional):
Ta1 0.0000 0.0000 0.0000 [1 per cell]
Si1 0.0000 0.0000 0.5341 [1 per cell]
Si2 0.5000 0.5000 0.7679 [1 per cell]
Os1 0.5000 0.5000 0.3296 [1 per cell]

=====

Computed, not measured: crystalline Cs2NiBr4 at its relaxed geometry at the PBE-GGA level of DFT.

Output
The value obtained for the final energy is -3.190 eV per atom. Its uncorrected formation energy is -1.1640 eV/atom.

a b c (Å): 10.4552 7.7728 13.6097
angles (deg): 90.00 90.00 90.00
Space group Pnma (No. 62)
Symmetry-distinct sites (fractional):
Cs1 0.0086 0.2500 0.1687 [4 per cell]
Cs2 0.1221 0.7500 0.3986 [4 per cell]
Ni1 0.2218 0.7500 0.0693 [4 per cell]
Br1 0.0009 0.2500 0.8903 [4 per cell]
Br2 0.1687 0.2500 0.4145 [4 per cell]
Br3 0.1908 0.0018 0.6476 [8 per cell]

=====

Computed, not measured: crystalline Li2IrRu at its relaxed geometry at the PBE-GGA level of DFT.

Output
The value obtained for the final energy is -4.911 eV per atom. Its formation enthalpy at 0 K is 0.580 eV per atom. The calculation puts the excess energy over the best structure of this formula in the dataset at 627.2 meV/atom.

a b c (Å): 6.7083 6.7083 4.9057
angles (deg): 90.00 90.00 90.00
Space group I-42d (No. 122)
Symmetry-distinct sites (fractional):
Li1 0.2494 0.2500 0.1250 [8 per cell]
Ir1 0.0000 0.0000 0.0000 [4 per cell]
Ru1 0.0000 0.0000 0.5000 [4 per cell]

=====

Computed, not measured: crystalline TiV2B2 at its relaxed geometry at the PBE-GGA level of DFT.

Output
The value obtained for the final energy is -8.525 eV per atom. Its formation enthalpy at 0 K is -0.627 eV per atom. The calculation puts the excess energy over the best structure of this formula in the dataset at 0.0 meV/atom.

a b c (Å): 5.8643 5.8643 3.0355
angles (deg): 90.00 90.00 90.00
Space group P4/mbm (No. 127)
Symmetry-distinct sites (fractional):
Ti1 0.0000 0.0000 0.0000 [2 per cell]
V1 0.1770 0.3230 0.5000 [4 per cell]
B1 0.1076 0.6076 0.0000 [4 per cell]

=====

Computed, not measured: crystalline CaCu2Se at its relaxed geometry at the PBE-GGA level of DFT.

Output
The value obtained for the final energy is -3.849 eV per atom. Its uncorrected formation energy is -0.4290 eV/atom.

a b c (Å): 3.6533 3.7035 6.0094
angles (deg): 90.00 107.53 90.00
Space group Pm (No. 6)
Symmetry-distinct sites (fractional):
Ca1 0.0000 0.0000 0.0000 [1 per cell]
Cu1 0.2489 0.0000 0.4930 [1 per cell]
Cu2 0.7102 0.5000 0.4170 [1 per cell]
Se1 0.3936 0.5000 0.7857 [1 per cell]

=====

Computed, not measured: crystalline Pm2URu2 at its relaxed geometry at the PBE-GGA level of DFT.

Output
The value obtained for the final energy is -8.176 eV per atom. Its formation enthalpy at 0 K is -0.308 eV per atom.

a b c (Å): 10.8762 6.3534 7.0357
angles (deg): 90.00 99.52 90.00
Space group C2/c (No. 15)
Symmetry-distinct sites (fractional):
Pm1 0.1475 0.1150 0.1372 [8 per cell]
U1 0.0000 0.4349 0.7500 [4 per cell]
Ru1 0.1463 0.3642 0.5210 [8 per cell]

=====

Computed, not measured: crystalline Ac2GeCl at its relaxed geometry at the PBE-GGA level of DFT.

Output
The value obtained for the final energy is -4.656 eV per atom. Its uncorrected formation energy is -0.9857 eV/atom. The calculation puts the excess energy over the best structure of this formula in the dataset at 253.3 meV/atom.

a b c (Å): 3.8443 3.8443 7.9292
angles (deg): 90.00 90.00 90.00
Space group P4/mmm (No. 123)
Symmetry-distinct sites (fractional):
Ac1 0.0000 0.0000 0.2306 [2 per cell]
Ge1 0.5000 0.5000 0.0000 [1 per cell]
Cl1 0.5000 0.5000 0.5000 [1 per cell]

=====

Computed, not measured: crystalline CuSe3I at its relaxed geometry at the PBE-GGA level of DFT.

Output
The value obtained for the final energy is -3.312 eV per atom. Its uncorrected formation energy is -0.0917 eV/atom.

a b c (Å): 14.2009 14.2009 15.2538
angles (deg): 90.00 90.00 120.00
Space group R-3m (No. 166, hexagonal axes)
Symmetry-distinct sites (fractional):
Cu1 0.0005 0.5003 0.3910 [18 per cell]
Se1 0.0860 0.1720 0.6325 [18 per cell]
Se2 0.0880 0.1761 0.2958 [18 per cell]
Se3 0.0883 0.1766 0.0368 [18 per cell]
I1 0.0000 0.3519 0.5000 [18 per cell]

=====

Computed, not measured: crystalline BaTeW2 at its relaxed geometry at the PBE-GGA level of DFT.

Output
The value obtained for the final energy is -7.222 eV per atom. Its uncorrected formation energy is 0.5208 eV/atom.

a b c (Å): 8.6245 3.4636 7.2671
angles (deg): 90.00 98.96 90.00
Space group Cm (No. 8)
Symmetry-distinct sites (fractional):
Ba1 0.0000 0.0000 0.0000 [2 per cell]
Te1 0.2274 0.0000 0.6503 [2 per cell]
W1 0.2685 0.5000 0.3438 [2 per cell]
W2 0.4885 0.0000 0.4560 [2 per cell]

=====

Computed, not measured: crystalline Rb3Ag2Br4 at its relaxed geometry at the PBE-GGA level of DFT.

Output
The value obtained for the final energy is -2.767 eV per atom. Its uncorrected formation energy is -1.0670 eV/atom.

a b c (Å): 16.8787 9.1516 9.1387
angles (deg): 90.00 96.46 90.00
Space group C2/c (No. 15)
Symmetry-distinct sites (fractional):
Rb1 0.0000 0.0156 0.2500 [4 per cell]
Rb2 0.1401 0.4213 0.8626 [8 per cell]
Ag1 0.1856 0.1677 0.5290 [8 per cell]
Br1 0.0324 0.2796 0.5169 [8 per cell]
Br2 0.2077 0.0565 0.8237 [8 per cell]

=====

Computed, not measured: crystalline CaAlIr2 at its relaxed geometry at the PBE-GGA level of DFT.

Output
The value obtained for the final energy is -6.061 eV per atom. Its formation enthalpy at 0 K is -0.195 eV per atom.

a b c (Å): 2.8239 4.0683 6.0718
angles (deg): 90.00 90.00 90.00
Space group Pmm2 (No. 25)
Symmetry-distinct sites (fractional):
Ca1 0.0000 0.0000 0.0000 [1 per cell]
Al1 0.5000 0.5000 0.6584 [1 per cell]
Ir1 0.0000 0.0000 0.5104 [1 per cell]
Ir2 0.5000 0.5000 0.2535 [1 per cell]